{
  "formula": "Mn4Sb3As",
  "functional": "PBE",
  "state": "relaxed",
  "lattice_angstrom": [[1.998, -3.460, 0.000], [1.998, 3.460, 0.000], [0.000, 0.000, 11.225]],
  "species": ["Mn", "Mn", "Mn", "Mn", "Sb", "Sb", "Sb", "As"],
  "frac_coords": [[0.000, 0.000, 0.617], [0.000, 0.000, 0.127], [0.000, 0.000, 0.873], [0.000, 0.000, 0.383], [0.667, 0.333, 0.000], [0.333, 0.667, 0.746], [0.333, 0.667, 0.254], [0.667, 0.333, 0.500]],
  "space_group": "No. 187",
  "final_energy_ev_per_cell": -54.106,
  "raw_formation_energy_ev_per_fu": -0.411
}

{
  "formula": "MnSbAs2",
  "functional": "PBE",
  "state": "relaxed",
  "lattice_angstrom": [[-2.301, -0.822, 4.105], [2.581, -3.956, -0.716], [2.803, 1.490, 1.869]],
  "species": ["As", "As", "Mn", "Sb"],
  "frac_coords": [[0.000, 0.000, 0.000], [0.500, 0.500, 0.000], [0.500, 0.000, 0.500], [0.000, 0.500, 0.500]],
  "space_group": "No. 65",
  "final_energy_ev_per_cell": -21.270,
  "raw_formation_energy_ev_per_fu": 1.321
}

{
  "formula": "MnSb2As2",
  "functional": "PBE",
  "state": "relaxed",
  "lattice_angstrom": [[-4.606, -3.123, -2.765], [4.130, -3.992, -2.372], [-0.527, -3.248, 4.548]],
  "species": ["Sb", "Sb", "Sb", "Sb", "As", "As", "As", "As", "Mn", "Mn"],
  "frac_coords": [[0.265, 0.765, 0.500], [0.765, 0.735, 0.500], [0.735, 0.235, 0.500], [0.235, 0.265, 0.500], [0.353, 0.853, 0.000], [0.853, 0.647, 0.000], [0.647, 0.147, 0.000], [0.147, 0.353, 0.000], [0.000, 0.000, 0.000], [0.500, 0.500, 0.000]],
  "space_group": "No. 127",
  "final_energy_ev_per_cell": -50.794,
  "raw_formation_energy_ev_per_fu": 1.316
}

no.,volume (Å³/cell)
1,155
2,81
3,217